No. 1
# ZrNb3Tl (PBE, optimized geometry)
# * crystal system: cubic
# * density of states at the Fermi level: 1.22 states/eV/atom
data_ZrNb3Tl
_chemical_formula_sum 'Zr1 Nb3 Tl1'
_cell_length_a 4.960
_cell_length_b 4.960
_cell_length_c 4.960
_cell_angle_alpha 90.00
_cell_angle_beta 90.00
_cell_angle_gamma 90.00
_symmetry_space_group_name_H-M 'P 1'
_symmetry_Int_Tables_number 1
loop_
_symmetry_equiv_pos_as_xyz
'x,y,z'
loop_
_atom_site_label
_atom_site_fract_x
_atom_site_fract_y
_atom_site_fract_z
_atom_site_occupancy
Tl1 0.500 0.500 0.500 1
Nb1 0.000 0.500 0.000 1
Nb2 0.000 0.000 0.500 1
Nb3 0.500 0.000 0.000 1
Zr1 0.000 0.000 0.000 1

=====

No. 2
# Zr3NbTl (PBE, optimized geometry)
# * crystal system: cubic
# * density of states at the Fermi level: 1.67 states/eV/atom
data_Zr3NbTl
_chemical_formula_sum 'Zr3 Nb1 Tl1'
_cell_length_a 5.115
_cell_length_b 5.115
_cell_length_c 5.115
_cell_angle_alpha 90.00
_cell_angle_beta 90.00
_cell_angle_gamma 90.00
_symmetry_space_group_name_H-M 'P 1'
_symmetry_Int_Tables_number 1
loop_
_symmetry_equiv_pos_as_xyz
'x,y,z'
loop_
_atom_site_label
_atom_site_fract_x
_atom_site_fract_y
_atom_site_fract_z
_atom_site_occupancy
Tl1 0.500 0.500 0.500 1
Zr1 0.000 0.500 0.000 1
Zr2 0.500 0.000 0.000 1
Zr3 0.000 0.000 0.500 1
Nb1 0.000 0.000 0.000 1

=====

No. 3
# ZrNb2Tl (PBE, optimized geometry)
# * crystal system: tetragonal
# * density of states at the Fermi level: 1.34 states/eV/atom
data_ZrNb2Tl
_chemical_formula_sum 'Zr1 Nb2 Tl1'
_cell_length_a 4.683
_cell_length_b 4.162
_cell_length_c 4.162
_cell_angle_alpha 90.00
_cell_angle_beta 90.00
_cell_angle_gamma 90.00
_symmetry_space_group_name_H-M 'P 1'
_symmetry_Int_Tables_number 1
loop_
_symmetry_equiv_pos_as_xyz
'x,y,z'
loop_
_atom_site_label
_atom_site_fract_x
_atom_site_fract_y
_atom_site_fract_z
_atom_site_occupancy
Nb1 0.000 0.500 0.000 1
Nb2 0.000 0.000 0.500 1
Zr1 0.500 0.000 0.000 1
Tl1 0.500 0.500 0.500 1

=====

No. 4
# Tm4Nb (PBE, optimized geometry)
# * crystal system: cubic
# * density of states at the Fermi level: 0.96 states/eV/atom
data_Tm4Nb
_chemical_formula_sum 'Tm4 Nb1'
_cell_length_a 5.391
_cell_length_b 5.391
_cell_length_c 5.391
_cell_angle_alpha 90.00
_cell_angle_beta 90.00
_cell_angle_gamma 90.00
_symmetry_space_group_name_H-M 'P 1'
_symmetry_Int_Tables_number 1
loop_
_symmetry_equiv_pos_as_xyz
'x,y,z'
loop_
_atom_site_label
_atom_site_fract_x
_atom_site_fract_y
_atom_site_fract_z
_atom_site_occupancy
Tm1 0.500 0.000 0.500 1
Tm2 0.000 0.500 0.500 1
Tm3 0.500 0.500 0.000 1
Tm4 0.000 0.000 0.000 1
Nb1 0.500 0.500 0.500 1

=====

No. 5
# Tm5Nb (PBE, optimized geometry)
# * crystal system: orthorhombic
# * density of states at the Fermi level: 1.16 states/eV/atom
data_Tm5Nb
_chemical_formula_sum 'Tm5 Nb1'
_cell_length_a 4.803
_cell_length_b 4.777
_cell_length_c 7.538
_cell_angle_alpha 108.47
_cell_angle_beta 90.00
_cell_angle_gamma 90.00
_symmetry_space_group_name_H-M 'P 1'
_symmetry_Int_Tables_number 1
loop_
_symmetry_equiv_pos_as_xyz
'x,y,z'
loop_
_atom_site_label
_atom_site_fract_x
_atom_site_fract_y
_atom_site_fract_z
_atom_site_occupancy
Tm1 0.000 0.655 0.310 1
Tm2 0.000 0.345 0.690 1
Tm3 0.500 0.158 0.316 1
Tm4 0.500 0.842 0.684 1
Tm5 0.500 0.500 0.000 1
Nb1 0.000 0.000 0.000 1

=====

No. 6
# Tm3Nb (PBE, optimized geometry)
# * crystal system: orthorhombic
# * density of states at the Fermi level: 1.43 states/eV/atom
data_Tm3Nb
_chemical_formula_sum 'Tm3 Nb1'
_cell_length_a 3.344
_cell_length_b 5.269
_cell_length_c 5.923
_cell_angle_alpha 90.00
_cell_angle_beta 90.00
_cell_angle_gamma 90.00
_symmetry_space_group_name_H-M 'P 1'
_symmetry_Int_Tables_number 1
loop_
_symmetry_equiv_pos_as_xyz
'x,y,z'
loop_
_atom_site_label
_atom_site_fract_x
_atom_site_fract_y
_atom_site_fract_z
_atom_site_occupancy
Nb1 0.000 0.000 0.005 1
Tm1 0.500 0.000 0.511 1
Tm2 0.500 0.500 0.839 1
Tm3 0.000 0.500 0.311 1

=====

no.,spin magnetization (μB/cell),energy of formation from the pure elements (meV/atom)
1,0.00,1512
2,0.01,797
3,0.00,116
4,0.00,511
5,0.00,148
6,0.00,201